Density functional theory data (PBE) for LaZn5Ir2 after structural relaxation.

The structure in POSCAR format:
```
LaZn5Ir2
1.0
-2.040 3.809 4.739
2.040 -3.809 4.739
2.040 3.809 -4.739
La Zn Ir
1 5 2
Cartesian
0.000 0.000 0.000
2.040 2.433 -1.515
2.040 2.433 1.515
0.000 3.809 0.000
0.000 1.376 3.224
0.000 1.376 6.255
2.040 0.000 2.254
0.000 3.809 2.485
```

- ΔE_f (eV per atom) = -0.34
- calculated volume (Å³/cell) = 147
- electronic total energy (eV per atom) = -3.9701
- SG = Immm, No. 71
- DOS at the Fermi energy (states/eV/cell) = 2.7
- total moment (μB/atom) = 0.0000